Entry 1:
Entry from Alexandria: crystalline Ac3Pr2ErSe6 at its relaxed geometry (PBE).

As for the raw formation energy: -1.825 eV per atom. The crystal system is monoclinic. The value obtained for the total DFT energy (no corrections) is -5.77 eV/atom.

The space group is C2/m (No. 12) and the conventional cell measures 7.4495, 12.9395 and 7.5569 Å, with angles of 90.00, 109.28 and 90.00 degrees. The distinct sites, in fractional coordinates, are Ac at (0.0000, 0.0000, 0.0000), Ac at (0.0000, 0.3274, 0.0000), Pr at (0.0000, 0.1665, 0.5000), Er at (0.0000, 0.5000, 0.5000), Se at (0.2358, 0.3399, 0.7283) and Se at (0.2415, 0.5000, 0.2649).


Entry 2:
Entry from Alexandria: crystalline Ac2Pr3ErSe6 at its relaxed geometry (PBE).

As for the raw formation energy: -1.810 eV per atom. The crystal system is monoclinic. The value obtained for the total DFT energy (no corrections) is -5.81 eV/atom.

The space group is C2/m (No. 12) and the conventional cell measures 7.4520, 12.9297 and 7.4275 Å, with angles of 90.00, 109.71 and 90.00 degrees. The distinct sites, in fractional coordinates, are Ac at (0.0000, 0.1654, 0.0000), Pr at (0.0000, 0.0000, 0.5000), Pr at (0.0000, 0.3243, 0.5000), Er at (0.0000, 0.5000, 0.0000), Se at (0.2280, 0.5000, 0.7440) and Se at (0.2385, 0.3424, 0.2466).


Entry 3:
Entry from Alexandria: crystalline AcPrEr2Se4 at its relaxed geometry (PBE).

As for the raw formation energy: -1.775 eV per atom. The crystal system is monoclinic. The value obtained for the total DFT energy (no corrections) is -5.77 eV/atom.

The space group is P2/m (No. 10) and the conventional cell measures 7.1087, 4.0889 and 7.6086 Å, with angles of 90.00, 108.06 and 90.00 degrees. The distinct sites, in fractional coordinates, are Ac at (0.0000, 0.0000, 0.0000), Pr at (0.5000, 0.5000, 0.0000), Er at (0.0000, 0.5000, 0.5000), Er at (0.5000, 0.0000, 0.5000), Se at (0.2447, 0.0000, 0.7234) and Se at (0.2642, 0.5000, 0.2800).


Entry 4:
Entry from Alexandria: crystalline AcPr2ErSe4 at its relaxed geometry (PBE).

As for the raw formation energy: -1.787 eV per atom. The crystal system is monoclinic. The value obtained for the total DFT energy (no corrections) is -5.81 eV/atom.

The space group is P2/m (No. 10) and the conventional cell measures 7.3246, 4.1858 and 7.5598 Å, with angles of 90.00, 108.45 and 90.00 degrees. The distinct sites, in fractional coordinates, are Ac at (0.0000, 0.0000, 0.0000), Pr at (0.5000, 0.0000, 0.5000), Pr at (0.5000, 0.5000, 0.0000), Er at (0.0000, 0.5000, 0.5000), Se at (0.2375, 0.0000, 0.7300) and Se at (0.2497, 0.5000, 0.2667).


Which size of the total moment belongs to each record? In order, 0.0000, 0.0000, 0.0000, 0.0000 μB/atom.